Entry 1:
The following is a DFT calculation (PBE) of Cs3Sm2Br8 after structural relaxation.

The structure in extended XYZ format:
```
13
Lattice="-1.416 -3.297 8.025 5.685 1.655 6.498 -3.507 7.240 7.171" Properties=species:S:1:pos:R:3 pbc="T T T"
Br 2.062 1.067 13.045
Br -2.068 2.742 13.004
Br -0.611 6.067 16.829
Br -1.023 0.169 9.519
Br 1.785 5.429 12.175
Br 2.830 2.856 8.690
Br -1.300 4.531 8.649
Br 1.374 -0.469 4.864
Sm 1.434 1.135 10.349
Sm -0.672 4.463 11.345
Cs -0.450 2.411 5.726
Cs 0.000 0.000 0.000
Cs 1.212 3.187 15.968
```

Summary:
Crystal system: trigonal
Total energy (eV per atom): -3.6520
Density (g/cm3): 3.49

Entry 2:
The following is a DFT calculation (PBE) of KMgHg2Te after structural relaxation.

The structure in extended XYZ format:
```
5
Lattice="-1.843 2.302 -4.711 2.705 -3.861 -2.945 -4.598 -3.346 0.164" Properties=species:S:1:pos:R:3 pbc="T T T"
K -1.868 -2.453 -3.746
Mg 0.000 0.000 0.000
Hg 1.352 -1.930 -1.472
Hg -0.922 1.151 -2.356
Te -2.299 -1.673 0.082
```

Summary:
Crystal system: tetragonal
Total energy (eV per atom): -1.6537
Density (g/cm3): 5.60

Entry 3:
The following is a DFT calculation (PBE) of Pb3AuS3 after structural relaxation.

The structure in extended XYZ format:
```
14
Lattice="5.914 0.000 0.000 0.000 8.624 0.000 0.000 -4.312 7.469" Properties=species:S:1:pos:R:3 pbc="T T T"
Au 4.436 0.000 4.979
Au 1.479 4.312 2.490
Pb 4.436 6.522 2.297
Pb 1.479 -2.210 5.172
Pb 4.436 3.041 0.672
Pb 4.436 3.374 4.500
Pb 1.479 0.938 2.969
Pb 1.479 1.272 6.797
S 4.436 -2.463 5.428
S 1.479 3.469 4.847
S 4.436 1.620 6.888
S 1.479 2.692 0.581
S 1.479 6.775 2.041
S 4.436 0.843 2.622
```

Summary:
Crystal system: hexagonal
Total energy (eV per atom): -4.0888
Density (g/cm3): 7.97

Entry 4:
The following is a DFT calculation (PBE) of PRu2Br after structural relaxation.

The structure in extended XYZ format:
```
4
Lattice="-3.338 1.299 0.729 -2.649 -0.183 -2.512 -0.890 -5.935 2.525" Properties=species:S:1:pos:R:3 pbc="T T T"
Ru -4.473 -4.433 1.076
Ru -0.162 -0.955 0.402
Br -3.838 -2.161 0.173
P -1.842 0.322 -0.538
```

Summary:
Crystal system: monoclinic
Total energy (eV per atom): -6.5136
ΔE to the lowest computed polymorph (kJ/mol of formula units): 0.0
Density (g/cm3): 7.00

Entry 5:
The following is a DFT calculation (PBE) of Be2HgW after structural relaxation.

The structure in extended XYZ format:
```
4
Lattice="5.134 0.003 0.000 2.779 4.317 0.000 -3.956 -2.160 2.458" Properties=species:S:1:pos:R:3 pbc="T T T"
Be 0.000 0.000 0.000
Be 1.389 2.159 1.229
W 2.567 0.002 1.229
Hg 3.956 2.160 0.000
```

Summary:
Crystal system: tetragonal
Total energy (eV per atom): -4.6075
Density (g/cm3): 12.27

Entry 6:
The following is a DFT calculation (PBE) of PmYB4 after structural relaxation.

The structure in extended XYZ format:
```
6
Lattice="3.144 0.000 1.065 1.274 4.822 1.412 0.010 0.624 5.146" Properties=species:S:1:pos:R:3 pbc="T T T"
B 3.113 3.378 6.333
B 0.894 0.668 2.535
B 1.316 2.068 1.289
B 3.535 4.778 5.088
Pm 0.000 0.000 0.000
Y 2.215 2.723 3.811
```

Summary:
Crystal system: orthorhombic
Total energy (eV per atom): -6.7655
Density (g/cm3): 6.05

Entry 7:
The following is a DFT calculation (PBE) of DyGaIr after structural relaxation.

The structure in extended XYZ format:
```
9
Lattice="-0.317 7.469 0.436 -2.805 3.967 -5.698 -4.442 3.579 -0.242" Properties=species:S:1:pos:R:3 pbc="T T T"
Ir -3.437 3.648 -0.689
Ir -4.749 7.441 -2.322
Ir -6.053 11.235 -3.958
Ga -3.812 6.118 -0.423
Ga -4.852 9.932 -2.177
Ga -5.577 6.274 -4.369
Dy -3.983 8.923 -4.974
Dy -2.955 5.049 -3.260
Dy -2.201 8.701 -1.002
```

Summary:
Crystal system: trigonal
Total energy (eV per atom): -6.2445
Density (g/cm3): 11.68

Entry 8:
The following is a DFT calculation (PBE) of ReB after structural relaxation.

The structure in extended XYZ format:
```
16
Lattice="6.881 0.000 0.000 0.000 6.881 0.000 0.000 0.000 4.285" Properties=species:S:1:pos:R:3 pbc="T T T"
Re 2.628 5.691 2.143
Re 6.069 2.250 0.000
Re 0.812 4.631 0.000
Re 4.631 6.069 0.000
Re 4.253 1.190 2.143
Re 1.190 2.628 2.143
Re 5.691 4.253 2.143
Re 2.250 0.812 0.000
B 4.085 1.644 0.000
B 2.796 5.237 0.000
B 1.644 2.796 0.000
B 6.237 1.796 2.143
B 1.796 0.644 2.143
B 5.085 6.237 2.143
B 0.644 5.085 2.143
B 5.237 4.085 0.000
```

Summary:
Crystal system: tetragonal
Total energy (eV per atom): -9.4462
Density (g/cm3): 12.90